A plane-wave DFT calculation with PBE with a Hubbard U was carried out for an optimized crystal structure of InFe2O.

Output
The offset from the most stable computed form comes out at 893.1 meV/atom. The total energy comes out at -4.091 eV per atom.

a = 4.4270 Å, b = 4.4270 Å, c = 4.4270 Å
α = 60.00°, β = 60.00°, γ = 60.00°
Sites, in units of the cell vectors:
Fe  0.7500  0.7500  0.7500
Fe  0.2500  0.2500  0.2500
In  0.5000  0.5000  0.5000
O  0.0000  0.0000  0.0000